# CaTlPt2

An optimized crystal structure of CaTlPt2 (PBE, the Alexandria database).

final energy = -4.575 eV per atom
DOS(E_F) = 0.833 states/eV per atom
calculated density = 11.71 Mg/m³

Unit cell a=4.619 b=4.619 c=14.612 alpha=90.00 beta=90.00 gamma=120.00
Fractional coordinates of all 12 atoms:
Ca  0.000  0.000  0.000
Ca  0.333  0.667  0.667
Ca  0.667  0.333  0.333
Tl  0.000  0.000  0.787
Tl  0.333  0.667  0.453
Tl  0.667  0.333  0.120
Pt  0.000  0.000  0.207
Pt  0.000  0.000  0.568
Pt  0.333  0.667  0.235
Pt  0.333  0.667  0.873
Pt  0.667  0.333  0.540
Pt  0.667  0.333  0.901



# CaTlPt2

An optimized crystal structure of CaTlPt2 (PBE, the Alexandria database).

final energy = -4.588 eV per atom
DOS(E_F) = 0.247 states/eV per atom
calculated density = 13.34 Mg/m³

Unit cell a=4.387 b=4.387 c=4.104 alpha=90.00 beta=90.00 gamma=90.00
Fractional coordinates of all 4 atoms:
Ca  0.000  0.000  0.000
Tl  0.500  0.500  0.000
Pt  0.000  0.500  0.500
Pt  0.500  0.000  0.500



# Ca2TlPtW

An optimized crystal structure of Ca2TlPtW (PBE, the Alexandria database).

final energy = -3.792 eV per atom
DOS(E_F) = 0.529 states/eV per atom
calculated density = 6.65 Mg/m³

Unit cell a=5.673 b=5.673 c=5.146 alpha=90.00 beta=90.00 gamma=90.00
Fractional coordinates of all 5 atoms:
Ca  0.000  0.500  0.000
Ca  0.500  0.000  0.000
Tl  0.000  0.000  0.000
Pt  0.500  0.500  0.500
W  0.000  0.000  0.500



# CaYTlPt

An optimized crystal structure of CaYTlPt (PBE, the Alexandria database).

final energy = -4.875 eV per atom
DOS(E_F) = 0.385 states/eV per atom
calculated density = 9.05 Mg/m³

Unit cell a=7.294 b=7.294 c=7.294 alpha=90.00 beta=90.00 gamma=90.00
Fractional coordinates of all 16 atoms:
Ca  0.000  0.000  0.000
Ca  0.000  0.500  0.500
Ca  0.500  0.000  0.500
Ca  0.500  0.500  0.000
Y  0.000  0.000  0.500
Y  0.000  0.500  0.000
Y  0.500  0.000  0.000
Y  0.500  0.500  0.500
Tl  0.250  0.250  0.750
Tl  0.250  0.750  0.250
Tl  0.750  0.250  0.250
Tl  0.750  0.750  0.750
Pt  0.250  0.250  0.250
Pt  0.250  0.750  0.750
Pt  0.750  0.250  0.750
Pt  0.750  0.750  0.250



# Ca2TlZnPt

An optimized crystal structure of Ca2TlZnPt (PBE, the Alexandria database).

final energy = -3.165 eV per atom
DOS(E_F) = 0.448 states/eV per atom
calculated density = 6.08 Mg/m³

Unit cell a=5.526 b=5.526 c=4.876 alpha=90.00 beta=90.00 gamma=90.00
Fractional coordinates of all 5 atoms:
Ca  0.000  0.500  0.000
Ca  0.500  0.000  0.000
Tl  0.000  0.000  0.500
Zn  0.500  0.500  0.500
Pt  0.500  0.500  0.000



# CaTm4Pt4

An optimized crystal structure of CaTm4Pt4 (PBE, the Alexandria database).

final energy = -5.963 eV per atom
DOS(E_F) = 0.605 states/eV per atom
calculated density = 10.69 Mg/m³

Unit cell a=9.112 b=9.112 c=5.598 alpha=90.00 beta=90.00 gamma=90.00
Fractional coordinates of all 18 atoms:
Ca  0.250  0.250  0.250
Ca  0.750  0.750  0.750
Tm  0.089  0.647  0.164
Tm  0.147  0.911  0.664
Tm  0.353  0.589  0.664
Tm  0.411  0.853  0.164
Tm  0.589  0.147  0.836
Tm  0.647  0.411  0.336
Tm  0.853  0.089  0.336
Tm  0.911  0.353  0.836
Pt  0.047  0.616  0.666
Pt  0.116  0.953  0.166
Pt  0.384  0.547  0.166
Pt  0.453  0.884  0.666
Pt  0.547  0.116  0.334
Pt  0.616  0.453  0.834
Pt  0.884  0.047  0.834
Pt  0.953  0.384  0.334



# CaTm5Pt6

An optimized crystal structure of CaTm5Pt6 (PBE, the Alexandria database).

final energy = -6.289 eV per atom
DOS(E_F) = 0.428 states/eV per atom
calculated density = 13.84 Mg/m³

Unit cell a=7.768 b=7.768 c=6.830 alpha=90.00 beta=90.00 gamma=143.25
Fractional coordinates of all 12 atoms:
Ca  0.000  0.000  0.000
Tm  0.000  0.000  0.500
Tm  0.334  0.666  0.500
Tm  0.336  0.664  0.000
Tm  0.664  0.336  0.000
Tm  0.666  0.334  0.500
Pt  0.173  0.827  0.253
Pt  0.173  0.827  0.747
Pt  0.500  0.500  0.264
Pt  0.500  0.500  0.736
Pt  0.827  0.173  0.253
Pt  0.827  0.173  0.747



# Ca5TmPt6

An optimized crystal structure of Ca5TmPt6 (PBE, the Alexandria database).

final energy = -5.195 eV per atom
DOS(E_F) = 0.170 states/eV per atom
calculated density = 10.05 Mg/m³

Unit cell a=7.764 b=7.764 c=7.049 alpha=90.00 beta=90.00 gamma=143.20
Fractional coordinates of all 12 atoms:
Ca  0.000  0.000  0.000
Ca  0.329  0.671  0.500
Ca  0.334  0.666  0.000
Ca  0.666  0.334  0.000
Ca  0.671  0.329  0.500
Tm  0.000  0.000  0.500
Pt  0.159  0.841  0.255
Pt  0.159  0.841  0.745
Pt  0.500  0.500  0.269
Pt  0.500  0.500  0.731
Pt  0.841  0.159  0.255
Pt  0.841  0.159  0.745



# CaTm2Pt

An optimized crystal structure of CaTm2Pt (PBE, the Alexandria database).

final energy = -4.843 eV per atom
DOS(E_F) = 1.097 states/eV per atom
calculated density = 8.39 Mg/m³

Unit cell a=3.495 b=3.495 c=9.288 alpha=90.00 beta=90.00 gamma=90.00
Fractional coordinates of all 4 atoms:
Ca  0.000  0.000  0.000
Tm  0.500  0.500  0.324
Tm  0.500  0.500  0.676
Pt  0.000  0.000  0.500



# CaTm3Pt2

An optimized crystal structure of CaTm3Pt2 (PBE, the Alexandria database).

final energy = -5.527 eV per atom
DOS(E_F) = 1.019 states/eV per atom
calculated density = 10.54 Mg/m³

Unit cell a=4.679 b=8.737 c=7.226 alpha=90.00 beta=90.00 gamma=90.00
Fractional coordinates of all 12 atoms:
Ca  0.000  0.080  0.000
Ca  0.000  0.920  0.500
Tm  0.000  0.329  0.629
Tm  0.000  0.671  0.129
Tm  0.500  0.179  0.338
Tm  0.500  0.421  0.969
Tm  0.500  0.579  0.469
Tm  0.500  0.821  0.838
Pt  0.000  0.358  0.239
Pt  0.000  0.642  0.739
Pt  0.500  0.160  0.729
Pt  0.500  0.840  0.229



# CaTm4Pt5

An optimized crystal structure of CaTm4Pt5 (PBE, the Alexandria database).

final energy = -6.236 eV per atom
DOS(E_F) = 0.589 states/eV per atom
calculated density = 13.55 Mg/m³

Unit cell a=3.439 b=3.439 c=17.515 alpha=90.00 beta=90.00 gamma=90.00
Fractional coordinates of all 10 atoms:
Ca  0.000  0.000  0.000
Tm  0.000  0.000  0.202
Tm  0.000  0.000  0.401
Tm  0.000  0.000  0.599
Tm  0.000  0.000  0.798
Pt  0.500  0.500  0.113
Pt  0.500  0.500  0.304
Pt  0.500  0.500  0.500
Pt  0.500  0.500  0.696
Pt  0.500  0.500  0.887



# CaTm2Pt2

An optimized crystal structure of CaTm2Pt2 (PBE, the Alexandria database).

final energy = -5.635 eV per atom
DOS(E_F) = 0.595 states/eV per atom
calculated density = 9.99 Mg/m³

Unit cell a=5.409 b=4.485 c=10.593 alpha=90.00 beta=96.48 gamma=90.00
Fractional coordinates of all 10 atoms:
Ca  0.080  0.250  0.282
Ca  0.920  0.750  0.718
Tm  0.265  0.750  0.028
Tm  0.373  0.250  0.612
Tm  0.627  0.750  0.388
Tm  0.735  0.250  0.972
Pt  0.162  0.750  0.474
Pt  0.213  0.250  0.869
Pt  0.787  0.750  0.131
Pt  0.838  0.250  0.526



# Ca2TmPt3

An optimized crystal structure of Ca2TmPt3 (PBE, the Alexandria database).

final energy = -5.483 eV per atom
DOS(E_F) = 0.389 states/eV per atom
calculated density = 10.94 Mg/m³

Unit cell a=7.770 b=7.770 c=7.016 alpha=90.00 beta=90.00 gamma=143.29
Fractional coordinates of all 12 atoms:
Ca  0.000  0.000  0.000
Ca  0.000  0.000  0.500
Ca  0.334  0.666  0.000
Ca  0.666  0.334  0.000
Tm  0.337  0.663  0.500
Tm  0.663  0.337  0.500
Pt  0.174  0.826  0.271
Pt  0.174  0.826  0.729
Pt  0.500  0.500  0.259
Pt  0.500  0.500  0.741
Pt  0.826  0.174  0.271
Pt  0.826  0.174  0.729



# CaTm2Pt

An optimized crystal structure of CaTm2Pt (PBE, the Alexandria database).

final energy = -4.841 eV per atom
DOS(E_F) = 0.895 states/eV per atom
calculated density = 7.32 Mg/m³

Unit cell a=4.074 b=4.074 c=27.145 alpha=90.00 beta=90.00 gamma=120.00
Fractional coordinates of all 12 atoms:
Ca  0.000  0.000  0.000
Ca  0.333  0.667  0.667
Ca  0.667  0.333  0.333
Tm  0.000  0.000  0.552
Tm  0.000  0.000  0.779
Tm  0.333  0.667  0.219
Tm  0.333  0.667  0.445
Tm  0.667  0.333  0.112
Tm  0.667  0.333  0.885
Pt  0.000  0.000  0.165
Pt  0.333  0.667  0.832
Pt  0.667  0.333  0.499



# Ca3TmPt8

An optimized crystal structure of Ca3TmPt8 (PBE, the Alexandria database).

final energy = -5.887 eV per atom
DOS(E_F) = 0.903 states/eV per atom
calculated density = 13.48 Mg/m³

Unit cell a=9.392 b=9.392 c=9.392 alpha=33.76 beta=33.76 gamma=33.76
Fractional coordinates of all 12 atoms:
Ca  0.000  0.000  0.000
Ca  0.124  0.124  0.124
Ca  0.627  0.627  0.627
Tm  0.502  0.502  0.502
Pt  0.063  0.063  0.559
Pt  0.063  0.559  0.063
Pt  0.067  0.563  0.563
Pt  0.313  0.313  0.313
Pt  0.559  0.063  0.063
Pt  0.563  0.067  0.563
Pt  0.563  0.563  0.067
Pt  0.813  0.813  0.813



# CaTm3Pt

An optimized crystal structure of CaTm3Pt (PBE, the Alexandria database).

final energy = -4.700 eV per atom
DOS(E_F) = 1.687 states/eV per atom
calculated density = 7.57 Mg/m³

Unit cell a=5.459 b=5.459 c=5.459 alpha=90.00 beta=90.00 gamma=90.00
Fractional coordinates of all 5 atoms:
Ca  0.000  0.000  0.000
Tm  0.000  0.500  0.500
Tm  0.500  0.000  0.500
Tm  0.500  0.500  0.000
Pt  0.500  0.500  0.500



# Ca2Tm2Pt3

An optimized crystal structure of Ca2Tm2Pt3 (PBE, the Alexandria database).

final energy = -5.492 eV per atom
DOS(E_F) = 0.836 states/eV per atom
calculated density = 10.13 Mg/m³

Unit cell a=8.613 b=8.613 c=8.613 alpha=32.55 beta=32.55 gamma=32.55
Fractional coordinates of all 7 atoms:
Ca  0.126  0.126  0.126
Ca  0.874  0.874  0.874
Tm  0.375  0.375  0.375
Tm  0.625  0.625  0.625
Pt  0.000  0.000  0.000
Pt  0.257  0.257  0.257
Pt  0.743  0.743  0.743



# Ca3TmPt4

An optimized crystal structure of Ca3TmPt4 (PBE, the Alexandria database).

final energy = -5.336 eV per atom
DOS(E_F) = 0.402 states/eV per atom
calculated density = 10.48 Mg/m³

Unit cell a=3.473 b=3.473 c=14.053 alpha=90.00 beta=90.00 gamma=90.00
Fractional coordinates of all 8 atoms:
Ca  0.000  0.000  0.000
Ca  0.000  0.000  0.248
Ca  0.000  0.000  0.752
Tm  0.000  0.000  0.500
Pt  0.500  0.500  0.126
Pt  0.500  0.500  0.387
Pt  0.500  0.500  0.613
Pt  0.500  0.500  0.874



# CaTm2Pt

An optimized crystal structure of CaTm2Pt (PBE, the Alexandria database).

final energy = -4.831 eV per atom
DOS(E_F) = 0.707 states/eV per atom
calculated density = 7.29 Mg/m³

Unit cell a=4.036 b=4.036 c=27.749 alpha=90.00 beta=90.00 gamma=120.00
Fractional coordinates of all 12 atoms:
Ca  0.000  0.000  0.000
Ca  0.333  0.667  0.667
Ca  0.667  0.333  0.333
Tm  0.000  0.000  0.220
Tm  0.000  0.000  0.780
Tm  0.333  0.667  0.447
Tm  0.333  0.667  0.887
Tm  0.667  0.333  0.113
Tm  0.667  0.333  0.553
Pt  0.000  0.000  0.500
Pt  0.333  0.667  0.167
Pt  0.667  0.333  0.833



# Ca2U2Pt15

An optimized crystal structure of Ca2U2Pt15 (PBE, the Alexandria database).

final energy = -6.722 eV per atom
DOS(E_F) = 1.141 states/eV per atom
calculated density = 16.60 Mg/m³

Unit cell a=7.097 b=7.097 c=7.097 alpha=82.17 beta=82.17 gamma=82.17
Fractional coordinates of all 19 atoms:
Ca  0.142  0.142  0.142
Ca  0.858  0.858  0.858
U  0.413  0.413  0.413
U  0.587  0.587  0.587
Pt  0.000  0.500  0.500
Pt  0.158  0.158  0.658
Pt  0.158  0.658  0.158
Pt  0.184  0.500  0.816
Pt  0.184  0.816  0.500
Pt  0.342  0.842  0.842
Pt  0.500  0.000  0.500
Pt  0.500  0.184  0.816
Pt  0.500  0.500  0.000
Pt  0.500  0.816  0.184
Pt  0.658  0.158  0.158
Pt  0.816  0.184  0.500
Pt  0.816  0.500  0.184
Pt  0.842  0.342  0.842
Pt  0.842  0.842  0.342